Entry 1:
This record from the Alexandria database describes a geometry-optimized PmThTe2 structure. The functional is PBE.

Raw formation energy: -468 kJ/mol of formula units
Symmetry: No. 123
Excess energy over the best structure of this formula in the dataset: 0.000 eV per atom
ρ: 9.21 Mg/m³
Crystal system: tetragonal
N(E_F): 2.64 states/eV/f.u.
VASP energy: -5.825 eV per atom

Unit cell a=3.8549 b=3.8549 c=7.6727 alpha=90.00 beta=90.00 gamma=90.00
Closest atoms and distances in Å follow each position.
Fractional positions:
Pm: 0.0000 0.0000 0.0000  8 Te 3.35
Th: 0.0000 0.0000 0.5000  8 Te 3.32
Te: 0.5000 0.5000 0.2532  4 Th 3.32, 4 Pm 3.35
Te: 0.5000 0.5000 0.7468  4 Th 3.32, 4 Pm 3.35


Entry 2:
This record from the Alexandria database describes a geometry-optimized Pm2ThTe4 structure. The functional is PBE.

Raw formation energy: -860 kJ/mol of formula units
Symmetry: No. 63
Excess energy over the best structure of this formula in the dataset: 0.069 eV per atom
ρ: 7.12 Mg/m³
Crystal system: orthorhombic
N(E_F): 4.30 states/eV/f.u.
VASP energy: -5.485 eV per atom

Unit cell a=7.6166 b=7.6166 c=15.1870 alpha=90.00 beta=90.00 gamma=146.89
Closest atoms and distances in Å follow each position.
Fractional positions:
Pm: 0.1362 0.8638 0.5666  6 Te 3.11-3.18
Pm: 0.1362 0.8638 0.9334  6 Te 3.11-3.18
Pm: 0.8638 0.1362 0.0666  6 Te 3.11-3.18
Pm: 0.8638 0.1362 0.4334  6 Te 3.11-3.18
Th: 0.3743 0.6257 0.7500  6 Te 3.18
Th: 0.6257 0.3743 0.2500  6 Te 3.18
Te: 0.0331 0.9669 0.7500  2 Pm 3.17, 2 Th 3.18
Te: 0.2203 0.7797 0.1264  3 Pm 3.15-3.18, 2 Th 3.18
Te: 0.2203 0.7797 0.3736  3 Pm 3.15-3.18, 2 Th 3.18
Te: 0.5000 0.5000 0.0000  4 Pm 3.11
Te: 0.5000 0.5000 0.5000  4 Pm 3.11
Te: 0.7797 0.2203 0.6264  3 Pm 3.15-3.18, 2 Th 3.18
Te: 0.7797 0.2203 0.8736  3 Pm 3.15-3.18, 2 Th 3.18
Te: 0.9669 0.0331 0.2500  2 Pm 3.17, 2 Th 3.18


Entry 3:
This record from the Alexandria database describes a geometry-optimized PmTh2Tl3Te6 structure. The functional is PBE.

Raw formation energy: -1049 kJ/mol of formula units
Symmetry: No. 12
ρ: 7.66 Mg/m³
Crystal system: monoclinic
N(E_F): 7.50 states/eV/f.u.
VASP energy: -4.701 eV per atom

Unit cell a=7.6546 b=7.6546 c=8.8716 alpha=98.27 beta=98.27 gamma=120.01
Closest atoms and distances in Å follow each position.
Fractional positions:
Pm: 0.0000 0.0000 0.0000  6 Te 3.20
Th: 0.3333 0.6667 0.0000  6 Te 3.17-3.18
Th: 0.6667 0.3333 0.0000  6 Te 3.17-3.18
Tl: 0.1657 0.8343 0.5000  6 Te 3.45-3.47
Tl: 0.5000 0.5000 0.5000  6 Te 3.45-3.47
Tl: 0.8343 0.1657 0.5000  6 Te 3.45-3.47
Te: 0.0748 0.4111 0.2244  2 Th 3.18, 1 Pm 3.20, 3 Tl 3.45-3.47
Te: 0.2616 0.2616 0.7762  2 Th 3.17, 1 Pm 3.20, 3 Tl 3.45-3.47
Te: 0.4111 0.0748 0.2244  2 Th 3.18, 1 Pm 3.20, 3 Tl 3.45-3.47
Te: 0.5889 0.9252 0.7756  2 Th 3.18, 1 Pm 3.20, 3 Tl 3.45-3.47
Te: 0.7384 0.7384 0.2238  2 Th 3.17, 1 Pm 3.20, 3 Tl 3.45-3.47
Te: 0.9252 0.5889 0.7756  2 Th 3.18, 1 Pm 3.20, 3 Tl 3.45-3.47


Entry 4:
This record from the Alexandria database describes a geometry-optimized Pm2ThTl3Te6 structure. The functional is PBE.

Raw formation energy: -1149 kJ/mol of formula units
Symmetry: No. 12
ρ: 7.26 Mg/m³
Crystal system: monoclinic
N(E_F): 4.86 states/eV/f.u.
VASP energy: -4.565 eV per atom

Unit cell a=7.7623 b=7.7623 c=8.7193 alpha=98.53 beta=98.53 gamma=120.00
Closest atoms and distances in Å follow each position.
Fractional positions:
Pm: 0.1664 0.8336 0.0000  6 Te 3.19
Pm: 0.8336 0.1664 0.0000  6 Te 3.19
Th: 0.5000 0.5000 0.0000  6 Te 3.16
Tl: 0.0000 0.0000 0.5000  6 Te 3.47-3.49
Tl: 0.3321 0.6679 0.5000  6 Te 3.46-3.48
Tl: 0.6679 0.3321 0.5000  6 Te 3.46-3.48
Te: 0.0959 0.4263 0.7784  1 Th 3.16, 2 Pm 3.19, 3 Tl 3.46-3.48
Te: 0.2443 0.2443 0.2227  1 Th 3.16, 2 Pm 3.19, 3 Tl 3.47-3.49
Te: 0.4263 0.0959 0.7784  1 Th 3.16, 2 Pm 3.19, 3 Tl 3.46-3.48
Te: 0.5737 0.9041 0.2216  1 Th 3.16, 2 Pm 3.19, 3 Tl 3.46-3.48
Te: 0.7557 0.7557 0.7773  1 Th 3.16, 2 Pm 3.19, 3 Tl 3.47-3.49
Te: 0.9041 0.5737 0.2216  1 Th 3.16, 2 Pm 3.19, 3 Tl 3.46-3.48


Entry 5:
This record from the Alexandria database describes a geometry-optimized Pm3Tm2ThTe6 structure. The functional is PBE.

Raw formation energy: -1458 kJ/mol of formula units
Symmetry: No. 12
ρ: 8.04 Mg/m³
Crystal system: monoclinic
N(E_F): 8.06 states/eV/f.u.
VASP energy: -5.382 eV per atom

Unit cell a=9.7782 b=9.7782 c=9.0105 alpha=99.84 beta=99.84 gamma=25.54
Closest atoms and distances in Å follow each position.
Fractional positions:
Pm: 0.0000 0.0000 0.0000  6 Te 3.10-3.20
Pm: 0.3468 0.3468 0.6572  6 Te 3.08-3.25
Pm: 0.6532 0.6532 0.3428  6 Te 3.08-3.25
Tm: 0.3332 0.3332 0.1606  6 Te 2.95-3.09
Tm: 0.6668 0.6668 0.8394  6 Te 2.95-3.09
Th: 0.0000 0.0000 0.5000  6 Te 3.16-3.28
Te: 0.1700 0.1700 0.0850  3 Tm 3.07-3.09, 3 Pm 3.20-3.23
Te: 0.1737 0.1737 0.6049  2 Tm 3.04, 3 Pm 3.17-3.25, 1 Th 3.28
Te: 0.4901 0.4901 0.2417  1 Tm 2.95, 3 Pm 3.08-3.10, 2 Th 3.16
Te: 0.5099 0.5099 0.7583  1 Tm 2.95, 3 Pm 3.08-3.10, 2 Th 3.16
Te: 0.8263 0.8263 0.3951  2 Tm 3.04, 3 Pm 3.17-3.25, 1 Th 3.28
Te: 0.8300 0.8300 0.9150  3 Tm 3.07-3.09, 3 Pm 3.20-3.23


Entry 6:
This record from the Alexandria database describes a geometry-optimized Pm2Tm3ThTe6 structure. The functional is PBE.

Raw formation energy: -1416 kJ/mol of formula units
Symmetry: No. 12
ρ: 8.31 Mg/m³
Crystal system: monoclinic
N(E_F): 7.13 states/eV/f.u.
VASP energy: -5.321 eV per atom

Unit cell a=10.0030 b=10.0030 c=9.0062 alpha=107.18 beta=107.18 gamma=24.68
Closest atoms and distances in Å follow each position.
Fractional positions:
Pm: 0.1578 0.1578 0.3122  6 Te 3.10-3.27
Pm: 0.8422 0.8422 0.6878  6 Te 3.10-3.27
Tm: 0.1657 0.1657 0.8247  6 Te 2.98-3.06
Tm: 0.5000 0.5000 0.5000  6 Te 3.02-3.12
Tm: 0.8343 0.8343 0.1753  6 Te 2.98-3.06
Th: 0.5000 0.5000 0.0000  6 Te 3.20-3.22
Te: 0.0063 0.0063 0.7399  3 Tm 2.98-3.02, 1 Pm 3.10, 2 Th 3.20
Te: 0.3286 0.3286 0.9342  3 Tm 3.03-3.04, 2 Pm 3.15, 1 Th 3.22
Te: 0.3332 0.3332 0.4173  3 Tm 3.06-3.12, 3 Pm 3.21-3.27
Te: 0.6668 0.6668 0.5827  3 Tm 3.06-3.12, 3 Pm 3.21-3.27
Te: 0.6714 0.6714 0.0658  3 Tm 3.03-3.04, 2 Pm 3.15, 1 Th 3.22
Te: 0.9937 0.9937 0.2601  3 Tm 2.98-3.02, 1 Pm 3.10, 2 Th 3.20